{"formula": "AcSmGa4", "functional": "PBE", "state": "relaxed", "lattice": [[4.3824, 0.0000, 0.0000], [0.0000, 4.3824, 0.0000], [0.0000, 0.0000, 15.1235]], "species": ["Ac", "Ac", "Sm", "Sm", "Ga", "Ga", "Ga", "Ga", "Ga", "Ga", "Ga", "Ga"], "frac_coords": [[0.0000, 0.0000, 0.0000], [0.5000, 0.5000, 0.5000], [0.0000, 0.5000, 0.7500], [0.5000, 0.0000, 0.2500], [0.0000, 0.0000, 0.4135], [0.0000, 0.0000, 0.5865], [0.0000, 0.5000, 0.1692], [0.0000, 0.5000, 0.3308], [0.5000, 0.0000, 0.6692], [0.5000, 0.0000, 0.8308], [0.5000, 0.5000, 0.0865], [0.5000, 0.5000, 0.9135]], "crystal_system": "tetragonal", "total_magnetization_mub_per_cell": 0.00, "polymorph_energy_mev_per_atom": 0.0, "space_group": "No. 119", "energy_ev_per_atom": -4.1164, "delta_e_f_mev_per_atom": -627}

***

{"formula": "NaGa2Ag", "functional": "PBE", "state": "relaxed", "lattice": [[3.0916, 0.0000, 0.0000], [0.0000, 3.0916, 0.0000], [0.0000, 0.0000, 8.4041]], "species": ["Na", "Ga", "Ga", "Ag"], "frac_coords": [[0.0000, 0.0000, 0.0000], [0.5000, 0.5000, 0.2810], [0.5000, 0.5000, 0.7190], [0.0000, 0.0000, 0.5000]], "crystal_system": "tetragonal", "total_magnetization_mub_per_cell": 0.00, "space_group": "No. 123", "energy_ev_per_atom": -2.5893, "delta_e_f_mev_per_atom": -33}

***

{"formula": "VGa2Rh2", "functional": "PBE", "state": "relaxed", "lattice": [[7.1876, 0.0000, 0.0000], [0.0000, 7.1876, 0.0000], [0.0000, 0.0000, 2.8833]], "species": ["V", "V", "Ga", "Ga", "Ga", "Ga", "Rh", "Rh", "Rh", "Rh"], "frac_coords": [[0.0000, 0.0000, 0.0000], [0.5000, 0.5000, 0.0000], [0.1575, 0.3425, 0.5000], [0.3425, 0.8425, 0.5000], [0.6575, 0.1575, 0.5000], [0.8425, 0.6575, 0.5000], [0.1415, 0.6415, 0.0000], [0.3585, 0.1415, 0.0000], [0.6415, 0.8585, 0.0000], [0.8585, 0.3585, 0.0000]], "crystal_system": "tetragonal", "total_magnetization_mub_per_cell": 4.05, "polymorph_energy_mev_per_atom": 71.2, "space_group": "No. 127", "energy_ev_per_atom": -6.2934, "delta_e_f_mev_per_atom": -318}

***

{"formula": "Ho3ReO6", "functional": "PBE", "state": "relaxed", "lattice": [[4.9282, 2.8453, 3.1608], [-4.9282, 2.8453, 3.1608], [0.0000, -5.6906, 3.1608]], "species": ["Ho", "Ho", "Ho", "Ho", "Ho", "Ho", "Re", "Re", "O", "O", "O", "O", "O", "O", "O", "O", "O", "O", "O", "O"], "frac_coords": [[0.1025, 0.6116, 0.7855], [0.2145, 0.8975, 0.3884], [0.3884, 0.2145, 0.8975], [0.6116, 0.7855, 0.1025], [0.7855, 0.1025, 0.6116], [0.8975, 0.3884, 0.2145], [0.0000, 0.0000, 0.0000], [0.5000, 0.5000, 0.5000], [0.0660, 0.3060, 0.9200], [0.0800, 0.9340, 0.6940], [0.1923, 0.5547, 0.4383], [0.3060, 0.9200, 0.0660], [0.4383, 0.1923, 0.5547], [0.4453, 0.5617, 0.8077], [0.5547, 0.4383, 0.1923], [0.5617, 0.8077, 0.4453], [0.6940, 0.0800, 0.9340], [0.8077, 0.4453, 0.5617], [0.9200, 0.0660, 0.3060], [0.9340, 0.6940, 0.0800]], "crystal_system": "trigonal", "total_magnetization_mub_per_cell": 4.12, "formation_energy_uncorrected_ev_per_atom": -2.8693, "space_group": "No. 148", "energy_ev_per_atom": -8.4624}

***

no.,Fermi-level density of states (states/eV per atom)
1,0.66
2,0.50
3,1.02
4,0.01